A plane-wave DFT calculation with PBE was carried out for crystalline Zr3Al3NiPdPt at its relaxed geometry.

Lattice parameters (Å, degrees): 7.1150 7.1150 3.5679 90.00 90.00 120.00
Element x y z (fractional)
Zr 0.0641 0.7296 0.0000
Zr 0.2704 0.3344 0.0000
Zr 0.6656 0.9359 0.0000
Al 0.4209 0.0890 0.5000
Al 0.6681 0.5791 0.5000
Al 0.9110 0.3319 0.5000
Ni 0.6667 0.3333 0.0000
Pd 0.0000 0.0000 0.5000
Pt 0.3333 0.6667 0.5000

Computed properties:
The energy is -61.020 eV/f.u. The calculation puts the magnetization at 0.0 μB/cell.

A plane-wave DFT calculation with PBE was carried out for crystalline LaPu at its relaxed geometry.

Lattice parameters (Å, degrees): 4.5329 4.5329 4.5329 60.00 60.00 60.00
Element x y z (fractional)
La 0.0000 0.0000 0.0000
Pu 0.5000 0.5000 0.5000

Computed properties:
The energy is -17.874 eV/f.u. The calculation puts the magnetization at 6.4 μB/cell.

A plane-wave DFT calculation with PBE was carried out for crystalline Er3Sc3BiTeOs at its relaxed geometry.

Lattice parameters (Å, degrees): 7.9189 7.9189 4.0854 90.00 90.00 120.00
Element x y z (fractional)
Er 0.0524 0.7168 0.0000
Er 0.2832 0.3356 0.0000
Er 0.6644 0.9476 0.0000
Sc 0.4381 0.1040 0.5000
Sc 0.6659 0.5619 0.5000
Sc 0.8960 0.3341 0.5000
Bi 0.0000 0.0000 0.5000
Te 0.3333 0.6667 0.5000
Os 0.6667 0.3333 0.0000

Computed properties:
The energy is -57.206 eV/f.u. The calculation puts the magnetization at 0.0 μB/cell.

A plane-wave DFT calculation with PBE was carried out for crystalline FeSnW4N2 at its relaxed geometry.

Lattice parameters (Å, degrees): 2.9020 2.9020 14.6578 90.00 90.00 120.00
Element x y z (fractional)
Fe 0.0000 0.0000 0.0000
Sn 0.6667 0.3333 0.5000
W 0.0000 0.0000 0.3340
W 0.0000 0.0000 0.6660
W 0.6667 0.3333 0.1420
W 0.6667 0.3333 0.8580
N 0.3333 0.6667 0.2393
N 0.3333 0.6667 0.7607

Computed properties:
The energy is -77.951 eV/f.u. The calculation puts the magnetization at 1.8 μB/cell.

A plane-wave DFT calculation with PBE was carried out for crystalline TlOsSeO at its relaxed geometry.

Lattice parameters (Å, degrees): 4.1790 4.1790 10.1829 90.00 90.00 90.00
Element x y z (fractional)
Tl 0.2500 0.7500 0.0000
Tl 0.7500 0.2500 0.0000
Os 0.2500 0.2500 0.4563
Os 0.7500 0.7500 0.5437
Se 0.2500 0.2500 0.2297
Se 0.7500 0.7500 0.7703
O 0.2500 0.7500 0.5000
O 0.7500 0.2500 0.5000

Computed properties:
The energy is -20.855 eV/f.u. The calculation puts the magnetization at 1.1 μB/cell.

A plane-wave DFT calculation with PBE was carried out for crystalline CoSiAg2 at its relaxed geometry.

Lattice parameters (Å, degrees): 4.3619 4.3619 4.3619 60.00 60.00 60.00
Element x y z (fractional)
Co 0.0000 0.0000 0.0000
Si 0.7500 0.7500 0.7500
Ag 0.2500 0.2500 0.2500
Ag 0.5000 0.5000 0.5000

Computed properties:
The energy is -16.985 eV/f.u. The calculation puts the magnetization at 1.0 μB/cell.

A plane-wave DFT calculation with PBE was carried out for crystalline LuReSn2 at its relaxed geometry.

Lattice parameters (Å, degrees): 4.9443 4.9443 4.9443 60.00 60.00 60.00
Element x y z (fractional)
Lu 0.0000 0.0000 0.0000
Re 0.7500 0.7500 0.7500
Sn 0.2500 0.2500 0.2500
Sn 0.5000 0.5000 0.5000

Computed properties:
The energy is -23.538 eV/f.u. The calculation puts the magnetization at 0.5 μB/cell.

A plane-wave DFT calculation with PBE was carried out for crystalline NiSnHgMo at its relaxed geometry.

Lattice parameters (Å, degrees): 4.6796 4.6796 4.6796 60.00 60.00 60.00
Element x y z (fractional)
Ni 0.0000 0.0000 0.0000
Sn 0.7500 0.7500 0.7500
Hg 0.5000 0.5000 0.5000
Mo 0.2500 0.2500 0.2500

Computed properties:
The energy is -18.088 eV/f.u. The calculation puts the magnetization at 2.3 μB/cell.

Question: magnetization of number 8 (NiSnHgMo)?
Answer: 2.3 μB/cell

Question: Which of these has the highest energy?
Answer: CoSiAg2